This record from Alexandria describes a PBEsol-optimized structure of AlIr. The functional is SCAN.

## Properties
E, eV/atom: -39.796
Space-group type: P6_3/mmc (194)
Magnetization, Bohr magnetons per cell: 0.00

Lattice parameters (Å, degrees): 3.765 3.765 5.029 90.00 90.00 120.00
Positions (direct):
Ir1 0.333 0.667 0.250
Ir2 0.667 0.333 0.750
Al1 0.000 0.000 0.500
Al2 0.000 0.000 0.000

This record from Alexandria describes a PBEsol-optimized structure of Al4Ir. The functional is SCAN.

## Properties
E, eV/atom: -20.742
Space-group type: Im-3m (229)
Magnetization, Bohr magnetons per cell: 0.00

Lattice parameters (Å, degrees): 4.958 4.958 4.958 109.47 109.47 109.47
Positions (direct):
Al1 0.500 0.000 0.000
Al2 0.000 0.500 0.000
Al3 0.500 0.500 0.500
Al4 0.000 0.000 0.500
Ir1 0.000 0.000 0.000

This record from Alexandria describes a PBEsol-optimized structure of Al5Ir. The functional is SCAN.

## Properties
E, eV/atom: -18.688
Space-group type: Cmmm (65)
Magnetization, Bohr magnetons per cell: 0.02

Lattice parameters (Å, degrees): 3.887 3.881 6.236 71.87 90.00 90.00
Positions (direct):
Al1 0.500 0.663 0.675
Al2 0.000 0.841 0.318
Al3 0.500 0.000 0.000
Al4 0.500 0.337 0.325
Al5 0.000 0.159 0.682
Ir1 0.000 0.500 0.000

This record from Alexandria describes a PBEsol-optimized structure of Al2Ir. The functional is SCAN.

## Properties
E, eV/atom: -29.825
Space-group type: Fd-3m (227)
Magnetization, Bohr magnetons per cell: 0.00

Lattice parameters (Å, degrees): 8.015 8.015 8.015 60.00 60.00 60.00
Positions (direct):
Al1 0.544 0.956 0.544
Al2 0.956 0.956 0.544
Al3 0.294 0.706 0.706
Al4 0.125 0.125 0.625
Al5 0.956 0.544 0.544
Al6 0.956 0.544 0.956
Al7 0.125 0.125 0.125
Al8 0.544 0.956 0.956
Al9 0.125 0.625 0.125
Al10 0.706 0.294 0.706
Al11 0.544 0.544 0.956
Al12 0.625 0.125 0.125
Al13 0.706 0.706 0.294
Al14 0.294 0.294 0.706
Al15 0.706 0.294 0.294
Al16 0.294 0.706 0.294
Ir1 0.901 0.901 0.901
Ir2 0.349 0.349 0.952
Ir3 0.901 0.901 0.298
Ir4 0.298 0.901 0.901
Ir5 0.349 0.349 0.349
Ir6 0.901 0.298 0.901
Ir7 0.349 0.952 0.349
Ir8 0.952 0.349 0.349